Entry from Alexandria via LeMat-Bulk: crystalline Tb2MoC2 at its relaxed geometry (PBE).

Unit cell a=5.1588 b=6.6745 c=10.0399 alpha=90.00 beta=90.00 gamma=90.00
Closest atoms and distances in Å follow each position.
Fractional coordinates of all 20 atoms:
C 0.7500 0.8214 0.0510  1 Mo 1.96
Tb 0.7500 0.6763 0.5583  5 C 2.54-2.61
Tb 0.2500 0.9581 0.7201  4 C 2.52-2.73
Tb 0.7500 0.1763 0.9417  5 C 2.54-2.61
Mo 0.2500 0.7881 0.3696  3 C 1.96-2.12
C 0.7500 0.4416 0.7578  2 Mo 2.00-2.12
C 0.2500 0.5584 0.2422  2 Mo 2.00-2.12
C 0.2500 0.0584 0.2578  2 Mo 2.00-2.12
Tb 0.7500 0.0419 0.2799  4 C 2.52-2.73
C 0.7500 0.9416 0.7422  2 Mo 2.00-2.12
Tb 0.2500 0.4581 0.7799  4 C 2.52-2.73
Mo 0.7500 0.7119 0.8696  3 C 1.96-2.12
C 0.7500 0.3214 0.4490  1 Mo 1.96
Tb 0.2500 0.3237 0.4417  5 C 2.54-2.61
Mo 0.2500 0.2881 0.1304  3 C 1.96-2.12
Mo 0.7500 0.2119 0.6304  3 C 1.96-2.12
Tb 0.7500 0.5419 0.2201  4 C 2.52-2.73
Tb 0.2500 0.8237 0.0583  5 C 2.54-2.61
C 0.2500 0.1786 0.9490  1 Mo 1.96
C 0.2500 0.6786 0.5510  1 Mo 1.96

Computed properties:
- symmetry = Pnma, No. 62
- E above lowest polymorph (meV/atom) = 0
- E_tot (Ha/atom) = -0.2941
- DOS(E_F) (states/eV/f.u.) = 2.653
- size of the total moment (μB/atom) = 0.000